A relaxed structure of BaTb2Cd2In2, computed with PBE.

The space group is R-3m (No. 166, hexagonal axes) and the conventional cell measures 5.0575, 5.0575 and 29.4429 Å, with angles of 90.00, 90.00 and 120.00 degrees. The asymmetric unit holds Ba at (0.0000, 0.0000, 0.0000), Tb at (0.0000, 0.0000, 0.1341), Cd at (0.0000, 0.0000, 0.4307) and In at (0.0000, 0.0000, 0.2506).

Its crystal system is trigonal. The theoretical density comes out at 6.95 g/cm3. Its energy is -62.1 eV per cell. The formation enthalpy at 0 K comes out at -0.316 eV/atom.

=====

A relaxed structure of Ba2TlCd4In3, computed with PBE.

The space group is P-4m2 (No. 115) and the conventional cell measures 4.972, 4.972 and 12.270 Å, with angles of 90.00, 90.00 and 90.00 degrees. The asymmetric unit holds Ba at (0.000, 0.500, 0.245), Tl at (0.000, 0.000, 0.500), Cd at (0.000, 0.000, 0.000), Cd at (0.000, 0.500, 0.639), Cd at (0.500, 0.500, 0.000), In at (0.000, 0.500, 0.870) and In at (0.500, 0.500, 0.500).

Its crystal system is tetragonal. The theoretical density comes out at 6.97 g/cm3. Its energy is -21.2 eV per cell. The formation enthalpy at 0 K comes out at -0.312 eV/atom.

=====

A relaxed structure of Ba2Tl3Cd4In, computed with PBE.

The space group is P-4m2 (No. 115) and the conventional cell measures 5.021, 5.021 and 12.316 Å, with angles of 90.00, 90.00 and 90.00 degrees. The asymmetric unit holds Ba at (0.000, 0.500, 0.248), Tl at (0.000, 0.500, 0.867), Tl at (0.500, 0.500, 0.500), Cd at (0.000, 0.000, 0.000), Cd at (0.000, 0.500, 0.633), Cd at (0.500, 0.500, 0.000) and In at (0.000, 0.000, 0.500).

Its crystal system is tetragonal. The theoretical density comes out at 7.77 g/cm3. Its energy is -20.0 eV per cell. The formation enthalpy at 0 K comes out at -0.268 eV/atom.

=====

A relaxed structure of Ba2TlCdIn6, computed with PBE.

The space group is R-3m (No. 166, hexagonal axes) and the conventional cell measures 7.5191, 7.5191 and 42.3297 Å, with angles of 90.00, 90.00 and 120.00 degrees. The asymmetric unit holds Ba at (0.0000, 0.0000, 0.1356), Ba at (0.0000, 0.0000, 0.3035), Tl at (0.0000, 0.0000, 0.4181), Cd at (0.0000, 0.0000, 0.0000), Cd at (0.0000, 0.0000, 0.5000), In at (0.0602, 0.5301, 0.8782) and In at (0.0635, 0.5317, 0.7227).

Its crystal system is trigonal. The theoretical density comes out at 6.15 g/cm3. Its energy is -147.0 eV per cell. The formation enthalpy at 0 K comes out at -0.094 eV/atom.

=====

A relaxed structure of Ba2Tl4Cd3In, computed with PBE.

The space group is P-4m2 (No. 115) and the conventional cell measures 5.060, 5.060 and 12.414 Å, with angles of 90.00, 90.00 and 90.00 degrees. The asymmetric unit holds Ba at (0.000, 0.500, 0.246), Tl at (0.000, 0.000, 0.500), Tl at (0.000, 0.500, 0.865), Tl at (0.500, 0.500, 0.500), Cd at (0.000, 0.000, 0.000), Cd at (0.000, 0.500, 0.633) and In at (0.500, 0.500, 0.000).

Its crystal system is tetragonal. The theoretical density comes out at 8.07 g/cm3. Its energy is -21.4 eV per cell. The formation enthalpy at 0 K comes out at -0.261 eV/atom.

=====

A relaxed structure of Ba2TmCd3In4, computed with PBE.

The space group is P-4m2 (No. 115) and the conventional cell measures 4.855, 4.855 and 13.032 Å, with angles of 90.00, 90.00 and 90.00 degrees. The asymmetric unit holds Ba at (0.000, 0.500, 0.241), Tm at (0.000, 0.000, 0.500), Cd at (0.000, 0.500, 0.865), Cd at (0.500, 0.500, 0.500), In at (0.000, 0.000, 0.000), In at (0.000, 0.500, 0.644) and In at (0.500, 0.500, 0.000).

Its crystal system is tetragonal. The theoretical density comes out at 6.70 g/cm3. Its energy is -25.2 eV per cell. The formation enthalpy at 0 K comes out at -0.323 eV/atom.

=====

> What is the formation enthalpy at 0 K in the second record?

-0.312 eV/atom

=====

> Number 2 is which compound?

Ba2TlCd4In3